First-principles (PBE) data for crystalline Rb2Sr2Hg at its relaxed geometry, as listed in Alexandria.

Values from the calculation:
- E: -0.867 eV per atom
- Distance to the lowest polymorph of the same formula: 0.266 eV per atom
- Calculated formation energy: 1.265 eV per formula unit

```
data_Rb2Sr2Hg
_cell_length_a 4.9465
_cell_length_b 4.9465
_cell_length_c 23.0802
_cell_angle_alpha 90.00
_cell_angle_beta 90.00
_cell_angle_gamma 90.00
_space_group_name_H-M_alt 'I 4/m m m'
_space_group_IT_number 139
_space_group_name_Hall '-I 4 2'
loop_
_atom_site_label
_atom_site_type_symbol
_atom_site_fract_x
_atom_site_fract_y
_atom_site_fract_z
Rb1 Rb 0.0000 0.5000 0.2500
Sr1 Sr 0.0000 0.0000 0.0800
Hg1 Hg 0.0000 0.0000 0.5000
```